Entry 1:
Entry from Alexandria via LeMat-Bulk: a geometry-optimized Pr12Sm2Ho structure (GGA-PBE).

Cell and atoms, written as extended XYZ:
```
30
Lattice="6.6491 0.0000 0.0000 0.0000 6.6491 0.0000 0.0000 0.0000 25.7196" Properties=species:S:1:pos:R:3 pbc="T T T"
Pr 0.4387 3.7633 2.8983
Pr 0.4387 6.2104 22.8213
Pr 0.5464 3.8710 14.4682
Pr 0.5464 6.1027 11.2513
Pr 1.6623 1.6623 5.5006
Pr 1.6623 1.6623 8.6635
Pr 1.6623 1.6623 17.0561
Pr 1.6623 1.6623 20.2190
Pr 2.7781 3.8710 11.2513
Pr 2.7781 6.1027 14.4682
Pr 2.8858 3.7633 22.8213
Pr 2.8858 6.2104 2.8983
Pr 3.7633 0.4387 22.8213
Pr 3.7633 2.8858 2.8983
Pr 3.8710 0.5464 11.2513
Pr 3.8710 2.7781 14.4682
Pr 4.9868 4.9868 5.5006
Pr 4.9868 4.9868 8.6635
Pr 4.9868 4.9868 17.0561
Pr 4.9868 4.9868 20.2190
Pr 6.1027 0.5464 14.4682
Pr 6.1027 2.7781 11.2513
Pr 6.2104 0.4387 2.8983
Pr 6.2104 2.8858 22.8213
Sm 1.6623 4.9868 6.9028
Sm 1.6623 4.9868 18.8168
Sm 4.9868 1.6623 6.9028
Sm 4.9868 1.6623 18.8168
Ho 1.6623 4.9868 0.0000
Ho 4.9868 1.6623 0.0000
```

## Properties
**M_tot**: 0.00 μB per formula unit
**SG**: P4/nbm
**DFT formation energy**: 0.3113 eV/atom
**Mass density**: 6299 kg/m3

Entry 2:
Entry from Alexandria via LeMat-Bulk: a geometry-optimized Er2GaGe2Rh5 structure (GGA-PBE).

Cell and atoms, written as extended XYZ:
```
20
Lattice="9.7166 0.0000 0.0000 0.0000 9.7166 0.0000 0.0000 0.0000 3.5434" Properties=species:S:1:pos:R:3 pbc="T T T"
Er 1.6841 3.1742 0.0000
Er 3.1742 8.0325 0.0000
Er 6.5425 1.6841 0.0000
Er 8.0325 6.5425 0.0000
Ga 0.0000 0.0000 0.0000
Ga 4.8583 4.8583 0.0000
Ge 1.2223 6.0806 0.0000
Ge 3.6361 1.2223 0.0000
Ge 6.0806 8.4944 0.0000
Ge 8.4944 3.6361 0.0000
Rh 0.0000 4.8583 1.7717
Rh 0.6504 7.7257 1.7717
Rh 1.9909 0.6504 1.7717
Rh 2.8674 5.5088 1.7717
Rh 4.2079 2.8674 1.7717
Rh 4.8583 0.0000 1.7717
Rh 5.5088 6.8492 1.7717
Rh 6.8492 4.2079 1.7717
Rh 7.7257 9.0662 1.7717
Rh 9.0662 1.9909 1.7717
```

## Properties
**M_tot**: 0.00 μB per formula unit
**SG**: P4/mbm
**DFT formation energy**: -0.8260 eV/atom
**Mass density**: 10563 kg/m3

Entry 3:
Entry from Alexandria via LeMat-Bulk: a geometry-optimized GaB2As structure (GGA-PBE).

Cell and atoms, written as extended XYZ:
```
8
Lattice="2.9709 -3.6289 0.0000 2.9709 3.6289 0.0000 -0.0411 0.0000 5.4426" Properties=species:S:1:pos:R:3 pbc="T T T"
Ga 0.9473 0.0000 1.2321
Ga 4.9535 0.0000 4.2105
B 2.1266 1.4344 5.1632
B 3.7741 1.4344 0.2793
B 2.1266 -1.4344 5.1632
B 3.7741 -1.4344 0.2793
As 1.5368 0.0000 3.7236
As 4.3640 0.0000 1.7189
```

## Properties
**M_tot**: 0.00 μB per formula unit
**SG**: C2/m
**DFT formation energy**: 0.2719 eV/atom
**Mass density**: 4705 kg/m3

Entry 4:
Entry from Alexandria via LeMat-Bulk: a geometry-optimized K2GaP2 structure (GGA-PBE).

Cell and atoms, written as extended XYZ:
```
10
Lattice="7.3198 -3.5029 0.0000 7.3198 3.5029 0.0000 -2.7031 0.0000 5.7115" Properties=species:S:1:pos:R:3 pbc="T T T"
K 2.8593 2.3291 4.8783
K 7.7258 2.3291 3.6889
K 4.2108 -2.3291 2.0226
K 9.0773 -2.3291 0.8332
Ga 6.6441 0.0016 1.4279
Ga 5.2925 -0.0016 4.2836
P 4.7805 1.2729 2.2943
P 8.5077 1.2729 0.5614
P 3.4289 -1.2729 5.1501
P 7.1561 -1.2729 3.4172
```

## Properties
**M_tot**: 1.05 μB per formula unit
**SG**: C2/c
**DFT formation energy**: -0.3217 eV/atom
**Mass density**: 2380 kg/m3

Entry 5:
Entry from Alexandria via LeMat-Bulk: a geometry-optimized NpMn4B4 structure (GGA-PBE).

Cell and atoms, written as extended XYZ:
```
18
Lattice="5.0969 0.0000 0.0000 0.0000 5.0969 0.0000 0.0000 0.0000 6.9521" Properties=species:S:1:pos:R:3 pbc="T T T"
Np 1.2742 3.8227 1.7380
Np 3.8227 1.2742 5.2141
Mn 0.0436 3.8227 4.2474
Mn 1.2742 2.5921 6.1807
Mn 1.2742 5.0532 6.1807
Mn 2.5048 3.8227 4.2474
Mn 2.5921 1.2742 2.7047
Mn 3.8227 0.0436 0.7714
Mn 3.8227 2.5048 0.7714
Mn 5.0532 1.2742 2.7047
B 0.4108 1.2742 0.6706
B 1.2742 0.4108 4.1466
B 1.2742 2.1376 4.1466
B 2.1376 1.2742 0.6706
B 2.9593 3.8227 6.2815
B 3.8227 2.9593 2.8055
B 3.8227 4.6861 2.8055
B 4.6861 3.8227 6.2815
```

## Properties
**M_tot**: 1.29 μB per formula unit
**SG**: P4_2/nmc
**DFT formation energy**: -0.3684 eV/atom
**Mass density**: 9194 kg/m3

Entry 6:
Entry from Alexandria via LeMat-Bulk: a geometry-optimized LiHoPuSi structure (GGA-PBE).

Cell and atoms, written as extended XYZ:
```
4
Lattice="0.0000 3.5161 3.5161 3.5161 0.0000 3.5161 3.5161 3.5161 0.0000" Properties=species:S:1:pos:R:3 pbc="T T T"
Li 0.0000 0.0000 0.0000
Ho 5.2741 5.2741 5.2741
Pu 1.7580 1.7580 1.7580
Si 3.5161 3.5161 3.5161
```

## Properties
**M_tot**: 6.07 μB per formula unit
**Energy relative to the elements, uncorrected**: -176 meV per atom
**SG**: F-43m
**Mass density**: 8480 kg/m3

Calculated final energy (eV per atom), listed in the same order as above: -4.447; -6.640; -4.986; -3.530; -8.849; -6.738